# Ca11Al14O32

An optimized crystal structure of Ca11Al14O32 (GGA-PBE, the Alexandria database).

```
data_Ca11Al14O32
_symmetry_space_group_name_H-M 'P 1'
_symmetry_Int_Tables_number 1
_symmetry_space_group_name_Hall 'P 1'
_cell_length_a 10.486
_cell_length_b 10.485
_cell_length_c 10.485
_cell_angle_alpha 70.47
_cell_angle_beta 70.19
_cell_angle_gamma 109.07
loop_
_atom_site_label
_atom_site_type_symbol
_atom_site_fract_x
_atom_site_fract_y
_atom_site_fract_z
Ca1 Ca 0.364 0.366 0.495
Ca2 Ca 0.137 0.254 0.115
Ca3 Ca 0.863 0.748 0.883
Ca4 Ca 0.879 0.879 0.509
Ca5 Ca 0.500 0.118 0.382
Ca6 Ca 0.636 0.141 0.998
Ca7 Ca 0.613 0.249 0.638
Ca8 Ca 0.000 0.864 0.136
Ca9 Ca 0.387 0.750 0.363
Ca10 Ca 0.000 0.390 0.610
Ca11 Ca 0.121 0.611 0.000
Al1 Al 0.000 0.126 0.874
Al2 Al 0.715 0.466 0.284
Al3 Al 0.623 0.624 0.503
Al4 Al 0.500 0.379 0.121
Al5 Al 0.216 0.967 0.784
Al6 Al 0.784 0.000 0.249
Al7 Al 0.285 0.001 0.249
Al8 Al 0.127 0.751 0.625
Al9 Al 0.748 0.534 0.752
Al10 Al 0.377 0.874 0.999
Al11 Al 0.240 0.493 0.719
Al12 Al 0.252 0.499 0.214
Al13 Al 0.873 0.249 0.376
Al14 Al 0.760 0.041 0.747
O1 O 0.431 0.588 0.552
O2 O 0.156 0.312 0.722
O3 O 0.328 0.386 0.161
O4 O 0.546 0.387 0.268
O5 O 0.675 0.619 0.643
O6 O 0.672 0.511 0.942
O7 O 0.044 0.979 0.866
O8 O 0.859 0.090 0.346
O9 O 0.808 0.904 0.726
O10 O 0.956 0.090 0.065
O11 O 0.454 0.186 0.159
O12 O 0.631 0.477 0.457
O13 O 0.116 0.994 0.252
O14 O 0.141 0.796 0.768
O15 O 0.762 0.812 0.339
O16 O 0.272 0.908 0.435
O17 O 0.938 0.703 0.659
O18 O 0.381 0.133 0.615
O19 O 0.619 0.004 0.248
O20 O 0.728 0.293 0.364
O21 O 0.369 0.913 0.153
O22 O 0.238 0.899 0.951
O23 O 0.569 0.017 0.843
O24 O 0.161 0.596 0.627
O25 O 0.884 0.633 0.122
O26 O 0.748 0.367 0.749
O27 O 0.325 0.682 0.056
O28 O 0.252 0.504 0.380
O29 O 0.062 0.403 0.235
O30 O 0.844 0.123 0.843
O31 O 0.839 0.212 0.564
O32 O 0.192 0.466 0.903
```

Properties
The density of states at the Fermi level comes out at 0.00 states/eV/f.u. The symmetry is No. 5. As for the uncorrected formation energy: -3.057 eV per atom.